Crystalline Y5Tl2Si2 at its relaxed geometry, computed with PBE.

Unit cell a=15.8539 b=7.6801 c=7.6881 alpha=90.00 beta=90.00 gamma=90.00
Closest atoms and distances in Å follow each position.
Space group Cmce (No. 64)
Asymmetric unit:
Y 0.0000 0.0000 0.0000 x4  4 Si 3.04-3.07
Y 0.1239 0.1810 0.3235 x16  3 Si 2.93-3.06, 3 Tl 3.14-3.23
Tl 0.2202 0.0000 0.0000 x8  7 Y 3.14-3.49
Si 0.0000 0.1199 0.6226 x8  1 Si 2.63, 2 Y 2.93

Values from the calculation:
volume = 26.00 Å³ per atom
calculated density = 6.5 g/cm3
raw formation energy = -0.581 eV/atom
density of states at the Fermi level = 27.717 states/eV per cell

---

Crystalline Sn5As4S at its relaxed geometry, computed with PBE.

Unit cell a=4.0887 b=4.0887 c=29.2564 alpha=90.00 beta=90.00 gamma=90.00
Closest atoms and distances in Å follow each position.
Space group I4/mmm (No. 139)
Asymmetric unit:
Sn 0.0000 0.0000 0.0000 x2  4 S 2.89, 2 As 2.92
Sn 0.0000 0.0000 0.1997 x4  6 As 2.89-2.94
Sn 0.0000 0.0000 0.3993 x4  5 As 2.89-2.91, 1 S 2.95
As 0.0000 0.0000 0.0998 x4  6 Sn 2.89-2.92
As 0.0000 0.0000 0.3000 x4  6 Sn 2.89-2.94
S 0.0000 0.0000 0.5000 x2  6 Sn 2.89-2.95

Values from the calculation:
volume = 24.45 Å³ per atom
calculated density = 6.3 g/cm3
raw formation energy = -0.117 eV/atom
density of states at the Fermi level = 6.476 states/eV per cell

---

Crystalline Mo6P7 at its relaxed geometry, computed with PBE.

Unit cell a=4.8158 b=4.8158 c=28.3223 alpha=90.00 beta=90.00 gamma=120.00
Closest atoms and distances in Å follow each position.
Space group R-3m (No. 166, hexagonal axes)
Asymmetric unit:
Mo 0.0000 0.0000 0.0472 x6  6 P 2.57, 1 Mo 2.67
Mo 0.0000 0.0000 0.1824 x6  3 P 2.48
Mo 0.0000 0.0000 0.3267 x6  6 P 2.50-2.79
P 0.0000 0.0000 0.5000 x3  6 Mo 2.82, 6 P 2.82
P 0.0074 0.5037 0.0793 x18  4 P 2.35-2.46, 4 Mo 2.48-2.57

Values from the calculation:
volume = 14.59 Å³ per atom
energy of formation from the pure elements = 0.216 eV/atom
calculated density = 6.9 g/cm3
density of states at the Fermi level = 24.676 states/eV per cell

---

Number 1: energy -5.90 eV per atom. Number 2: energy -4.39 eV per atom. Number 3: energy -7.70 eV per atom.